InTcHg3: optimized geometry, PBE.

Output
* magnetization: 0.295 μB/atom
* crystal system: cubic
* raw total energy: -2.16 eV/atom
* mass density: 8.91 g/cm3

Unit cell a=5.335 b=5.335 c=5.335 alpha=90.00 beta=90.00 gamma=90.00
Fractional coordinates of all 5 atoms:
In1 0.000 0.000 0.000
Tc1 0.500 0.500 0.500
Hg1 0.000 0.500 0.500
Hg2 0.500 0.000 0.500
Hg3 0.500 0.500 0.000

BeTl2AgS: optimized geometry, PBE.

Output
* magnetization: 0.000 μB/atom
* crystal system: tetragonal
* formation energy (no corrections): 0.52 eV per atom
* mass density: 6.95 g/cm3

Unit cell a=5.475 b=5.475 c=4.446 alpha=90.00 beta=90.00 gamma=90.00
Fractional coordinates of all 5 atoms:
Be1 0.000 0.000 0.000
Tl1 0.000 0.500 0.500
Tl2 0.500 0.000 0.500
Ag1 0.000 0.000 0.500
S1 0.500 0.500 0.000

La12Si5Sn: optimized geometry, PBE.

Output
* magnetization: 0.000 μB/atom
* crystal system: orthorhombic
* formation energy (no corrections): -0.55 eV per atom
* mass density: 5.88 g/cm3

Unit cell a=8.921 b=8.921 c=8.921 alpha=112.80 beta=110.33 gamma=105.37
Fractional coordinates of all 18 atoms:
La1 0.031 0.231 0.800
La2 0.182 0.268 0.450
La3 0.182 0.732 0.914
La4 0.319 0.027 0.708
La5 0.319 0.611 0.292
La6 0.430 0.231 0.200
La7 0.570 0.769 0.800
La8 0.681 0.389 0.708
La9 0.681 0.973 0.292
La10 0.818 0.268 0.086
La11 0.818 0.732 0.550
La12 0.969 0.769 0.200
Si1 0.000 0.000 0.000
Si2 0.111 0.611 0.500
Si3 0.380 0.000 0.380
Si4 0.620 0.000 0.620
Si5 0.889 0.389 0.500
Sn1 0.500 0.500 0.000

KAuSe2: optimized geometry, PBE.

Output
* magnetization: 0.000 μB/atom
* crystal system: monoclinic
* formation energy (no corrections): -0.57 eV per atom
* mass density: 5.14 g/cm3

Unit cell a=6.338 b=6.338 c=5.443 alpha=90.12 beta=90.12 gamma=35.57
Fractional coordinates of all 4 atoms:
K1 0.000 0.000 0.000
Au1 0.791 0.791 0.500
Se1 0.157 0.157 0.501
Se2 0.429 0.429 0.499

SmHo4Pd5: optimized geometry, PBE.

Output
* magnetization: 0.000 μB/atom
* crystal system: tetragonal
* raw total energy: -5.77 eV/atom
* mass density: 10.31 g/cm3

Unit cell a=3.473 b=3.473 c=17.915 alpha=90.00 beta=90.00 gamma=90.00
Fractional coordinates of all 10 atoms:
Sm1 0.000 0.000 0.000
Ho1 0.000 0.000 0.204
Ho2 0.000 0.000 0.401
Ho3 0.000 0.000 0.599
Ho4 0.000 0.000 0.796
Pd1 0.500 0.500 0.108
Pd2 0.500 0.500 0.303
Pd3 0.500 0.500 0.500
Pd4 0.500 0.500 0.697
Pd5 0.500 0.500 0.892

CsPaHgSe3: optimized geometry, PBE.

Output
* magnetization: 0.000 μB/atom
* crystal system: monoclinic
* formation energy (no corrections): -1.01 eV per atom
* mass density: 5.48 g/cm3

Unit cell a=10.088 b=10.088 c=7.387 alpha=95.86 beta=95.86 gamma=137.68
Fractional coordinates of all 12 atoms:
Cs1 0.226 0.774 0.750
Cs2 0.774 0.226 0.250
Pa1 0.050 0.950 0.250
Pa2 0.950 0.050 0.750
Hg1 0.381 0.619 0.250
Hg2 0.619 0.381 0.750
Se1 0.190 0.269 0.511
Se2 0.190 0.810 0.250
Se3 0.269 0.190 0.011
Se4 0.731 0.810 0.989
Se5 0.810 0.190 0.750
Se6 0.810 0.731 0.489

TaHO2: optimized geometry, PBE.

Output
* magnetization: 0.000 μB/atom
* crystal system: trigonal
* raw total energy: -6.41 eV/atom
* mass density: 8.43 g/cm3

Unit cell a=5.835 b=5.835 c=5.835 alpha=29.31 beta=29.31 gamma=29.31
Fractional coordinates of all 4 atoms:
Ta1 0.000 0.000 0.000
H1 0.500 0.500 0.500
O1 0.111 0.111 0.111
O2 0.889 0.889 0.889

Dy5Zr3H12: optimized geometry, PBE.

Output
* magnetization: 0.000 μB/atom
* crystal system: cubic
* raw total energy: -4.86 eV/atom
* mass density: 7.34 g/cm3

Unit cell a=10.889 b=10.889 c=10.889 alpha=109.47 beta=109.47 gamma=109.47
Fractional coordinates of all 80 atoms:
Dy1 0.000 0.000 0.000
Dy2 0.000 0.000 0.500
Dy3 0.000 0.500 0.000
Dy4 0.000 0.500 0.500
Dy5 0.125 0.750 0.875
Dy6 0.125 0.875 0.250
Dy7 0.250 0.125 0.875
Dy8 0.250 0.625 0.375
Dy9 0.375 0.250 0.625
Dy10 0.375 0.625 0.750
Dy11 0.500 0.000 0.000
Dy12 0.500 0.000 0.500
Dy13 0.500 0.500 0.000
Dy14 0.500 0.500 0.500
Dy15 0.625 0.375 0.250
Dy16 0.625 0.750 0.375
Dy17 0.750 0.375 0.625
Dy18 0.750 0.875 0.125
Dy19 0.875 0.125 0.750
Dy20 0.875 0.250 0.125
Zr1 0.125 0.250 0.375
Zr2 0.125 0.375 0.750
Zr3 0.250 0.375 0.125
Zr4 0.250 0.875 0.625
Zr5 0.375 0.125 0.250
Zr6 0.375 0.750 0.125
Zr7 0.625 0.250 0.875
Zr8 0.625 0.875 0.750
Zr9 0.750 0.125 0.375
Zr10 0.750 0.625 0.875
Zr11 0.875 0.625 0.250
Zr12 0.875 0.750 0.625
H1 0.070 0.731 0.655
H2 0.070 0.839 0.415
H3 0.077 0.231 0.161
H4 0.077 0.345 0.915
H5 0.085 0.661 0.430
H6 0.085 0.923 0.655
H7 0.155 0.231 0.570
H8 0.155 0.423 0.585
H9 0.161 0.077 0.231
H10 0.161 0.585 0.930
H11 0.231 0.161 0.077
H12 0.231 0.570 0.155
H13 0.269 0.345 0.930
H14 0.269 0.423 0.339
H15 0.339 0.269 0.423
H16 0.339 0.570 0.915
H17 0.345 0.915 0.077
H18 0.345 0.930 0.269
H19 0.415 0.070 0.839
H20 0.415 0.845 0.577
H21 0.423 0.339 0.269
H22 0.423 0.585 0.155
H23 0.430 0.085 0.661
H24 0.430 0.845 0.769
H25 0.570 0.155 0.231
H26 0.570 0.915 0.339
H27 0.577 0.415 0.845
H28 0.577 0.661 0.731
H29 0.585 0.155 0.423
H30 0.585 0.930 0.161
H31 0.655 0.070 0.731
H32 0.655 0.085 0.923
H33 0.661 0.430 0.085
H34 0.661 0.731 0.577
H35 0.731 0.577 0.661
H36 0.731 0.655 0.070
H37 0.769 0.430 0.845
H38 0.769 0.839 0.923
H39 0.839 0.415 0.070
H40 0.839 0.923 0.769
H41 0.845 0.577 0.415
H42 0.845 0.769 0.430
H43 0.915 0.077 0.345
H44 0.915 0.339 0.570
H45 0.923 0.655 0.085
H46 0.923 0.769 0.839
H47 0.930 0.161 0.585
H48 0.930 0.269 0.345